No. 1
This record from the Alexandria database describes a relaxed structure of Sm2Dy7Tm. The functional is PBE.

a = 6.4782 Å, b = 28.7237 Å, c = 3.5004 Å
α = 90.00°, β = 90.00°, γ = 90.00°
Space group Cmmm (No. 65)
Asymmetric unit:
Sm 0.0000 0.2078 0.0000 [4 per cell]
Dy 0.0000 0.0000 0.0000 [2 per cell]
Dy 0.0000 0.3147 0.5000 [4 per cell]
Dy 0.2458 0.4022 0.0000 [8 per cell]
Tm 0.0000 0.5000 0.5000 [2 per cell]

Properties
- E_form (eV/atom) = 0.158
- calculated total energy (eV per atom) = -4.454
- crystal system = orthorhombic
- Fermi-level density of states (states/eV/atom) = 1.523

=====

No. 2
This record from the Alexandria database describes a relaxed structure of Sm3Dy5Tm4. The functional is PBE.

a = 6.1357 Å, b = 7.0886 Å, c = 8.6704 Å
α = 90.05°, β = 90.03°, γ = 90.13°
Space group P-1 (No. 2)
Asymmetric unit:
Sm 0.0000 0.0000 0.0000 [1 per cell]
Sm 0.1661 0.7488 0.6659 [2 per cell]
Dy 0.0000 0.5000 0.0000 [1 per cell]
Dy 0.3342 0.0001 0.3338 [2 per cell]
Dy 0.4988 0.2514 0.9998 [2 per cell]
Tm 0.1678 0.2512 0.6659 [2 per cell]
Tm 0.3337 0.5001 0.3338 [2 per cell]

Properties
- E_form (eV/atom) = 0.019
- calculated total energy (eV per atom) = -4.568
- crystal system = triclinic
- Fermi-level density of states (states/eV/atom) = 1.282

=====

No. 3
This record from the Alexandria database describes a relaxed structure of Sm4Dy3Tm8. The functional is PBE.

a = 6.8935 Å, b = 6.8935 Å, c = 35.0689 Å
α = 90.00°, β = 90.00°, γ = 120.00°
Space group R-3m (No. 166, hexagonal axes)
Asymmetric unit:
Sm 0.0000 0.0000 0.0000 [3 per cell]
Sm 0.0000 0.0000 0.1635 [6 per cell]
Sm 0.0000 0.0000 0.5000 [3 per cell]
Dy 0.0000 0.5000 0.0000 [9 per cell]
Tm 0.0000 0.0000 0.2552 [6 per cell]
Tm 0.0017 0.5008 0.2508 [18 per cell]

Properties
- E_form (eV/atom) = 0.129
- calculated total energy (eV per atom) = -4.435
- crystal system = trigonal
- Fermi-level density of states (states/eV/atom) = 1.440

=====

No. 4
This record from the Alexandria database describes a relaxed structure of Sm3Dy2Tm2. The functional is PBE.

a = 3.5624 Å, b = 6.1653 Å, c = 10.6926 Å
α = 84.31°, β = 89.99°, γ = 73.28°
Space group P-1 (No. 2)
Asymmetric unit:
Sm 0.0000 0.0000 0.0000 [1 per cell]
Sm 0.1421 0.7154 0.5713 [2 per cell]
Dy 0.2850 0.4297 0.1421 [2 per cell]
Tm 0.4278 0.1442 0.7152 [2 per cell]

Properties
- E_form (eV/atom) = 0.018
- calculated total energy (eV per atom) = -4.597
- crystal system = triclinic
- Fermi-level density of states (states/eV/atom) = 1.234

=====

No. 5
This record from the Alexandria database describes a relaxed structure of Sm12Dy7Tm. The functional is PBE.

a = 19.5636 Å, b = 19.5636 Å, c = 6.1693 Å
α = 90.00°, β = 90.00°, γ = 120.00°
Space group R-3 (No. 148, hexagonal axes)
Asymmetric unit:
Sm 0.9998 0.4131 0.9999 [18 per cell]
Sm 0.0975 0.5485 0.4614 [18 per cell]
Dy 0.0000 0.0000 0.0000 [3 per cell]
Dy 0.0812 0.1630 0.2930 [18 per cell]
Tm 0.0000 0.0000 0.5000 [3 per cell]

Properties
- E_form (eV/atom) = 0.246
- calculated total energy (eV per atom) = -4.420
- crystal system = trigonal
- Fermi-level density of states (states/eV/atom) = 1.359

=====

No. 6
This record from the Alexandria database describes a relaxed structure of Sm4Dy3Tm8. The functional is PBE.

a = 13.2777 Å, b = 12.8060 Å, c = 6.6795 Å
α = 90.00°, β = 120.09°, γ = 90.00°
Space group C2/m (No. 12)
Asymmetric unit:
Sm 0.0000 0.0000 0.0000 [2 per cell]
Sm 0.0000 0.0000 0.5000 [2 per cell]
Sm 0.2500 0.2500 0.0000 [4 per cell]
Dy 0.0000 0.5000 0.0000 [2 per cell]
Dy 0.2500 0.2500 0.5000 [4 per cell]
Tm 0.0000 0.2541 0.0000 [4 per cell]
Tm 0.0000 0.3631 0.5000 [4 per cell]
Tm 0.2318 0.5000 0.9695 [4 per cell]
Tm 0.2329 0.5000 0.4912 [4 per cell]

Properties
- E_form (eV/atom) = 0.386
- calculated total energy (eV per atom) = -4.178
- crystal system = monoclinic
- Fermi-level density of states (states/eV/atom) = 1.994

=====

Q: calculated total energy of number 2 (Sm3Dy5Tm4)?
A: -4.568 eV per atom

=====

Please write out number 5 again, unchanged.
This record from the Alexandria database describes a relaxed structure of Sm12Dy7Tm. The functional is PBE.

a = 19.5636 Å, b = 19.5636 Å, c = 6.1693 Å
α = 90.00°, β = 90.00°, γ = 120.00°
Space group R-3 (No. 148, hexagonal axes)
Asymmetric unit:
Sm 0.9998 0.4131 0.9999 [18 per cell]
Sm 0.0975 0.5485 0.4614 [18 per cell]
Dy 0.0000 0.0000 0.0000 [3 per cell]
Dy 0.0812 0.1630 0.2930 [18 per cell]
Tm 0.0000 0.0000 0.5000 [3 per cell]

Properties
- E_form (eV/atom) = 0.246
- calculated total energy (eV per atom) = -4.420
- crystal system = trigonal
- Fermi-level density of states (states/eV/atom) = 1.359

=====

Q: E_form of number 4 (Sm3Dy2Tm2)?
A: 0.018 eV/atom

=====

Q: Which of these has the lowest calculated total energy?
A: Sm3Dy2Tm2